(1)
Compound: HgOsPb2O6
Source: Alexandria
Functional: GGA-PBE
Structure: relaxed

The total moment is 0.000 μB/atom. The total energy is -115.33 eV for the cell shown.

The space group is C2/m (No. 12) and the conventional cell measures 10.4108, 5.7206 and 5.5385 Å, with angles of 90.00, 106.79 and 90.00 degrees. The distinct sites, in fractional coordinates, are Hg at (0.0000, 0.0000, 0.0000), Os at (0.0000, 0.5000, 0.5000), Pb at (0.2263, 0.0000, 0.7142), O at (0.1046, 0.2645, 0.3802) and O at (0.1272, 0.5000, 0.8085).



(2)
Compound: CsNpH2F8
Source: Alexandria
Functional: GGA-PBE
Structure: relaxed

The total moment is 0.167 μB/atom. The total energy is -67.83 eV for the cell shown.

The space group is P-1 (No. 2) and the conventional cell measures 5.0420, 5.1112 and 8.7989 Å, with angles of 100.70, 90.37 and 108.42 degrees. The distinct sites, in fractional coordinates, are Cs at (0.0000, 0.0000, 0.0000), Np at (0.0000, 0.0000, 0.5000), H at (0.4815, 0.6737, 0.1998), F at (0.2297, 0.1914, 0.3354), F at (0.2407, 0.7466, 0.4928), F at (0.2644, 0.2742, 0.6995) and F at (0.3389, 0.6530, 0.1174).



(3)
Compound: Ho4TeRh2
Source: Alexandria
Functional: GGA-PBE
Structure: relaxed

The total moment is 0.000 μB/atom. The total energy is -332.98 eV for the cell shown.

The space group is Fddd (No. 70, origin choice 2) and the conventional cell measures 11.9576, 11.9759 and 11.9919 Å, with angles of 90.00, 90.00 and 90.00 degrees. The distinct sites, in fractional coordinates, are Ho at (0.0191, 0.0196, 0.2307), Te at (0.1250, 0.1250, 0.6250) and Rh at (0.0000, 0.0000, 0.0000).



(4)
Compound: Na2NiC
Source: Alexandria
Functional: GGA-PBE
Structure: relaxed

The total moment is 0.000 μB/atom. The total energy is -62.71 eV for the cell shown. For the formation energy, the calculation gives 0.491 eV per atom.

The space group is I-42d (No. 122) and the conventional cell measures 10.5109, 10.5109 and 3.5472 Å, with angles of 90.00, 90.00 and 90.00 degrees. The distinct sites, in fractional coordinates, are Na at (0.0013, 0.7500, 0.1250), Ni at (0.0000, 0.0000, 0.0000) and C at (0.0000, 0.0000, 0.5000).



(5)
Compound: Tl2CrRh
Source: Alexandria
Functional: GGA-PBE
Structure: relaxed

The total moment is 0.980 μB/atom. The total energy is -40.60 eV for the cell shown. Its distance to the lowest polymorph of the same formula is 62.7 meV/atom. For the formation energy, the calculation gives 0.352 eV per atom.

The space group is Imm2 (No. 44) and the conventional cell measures 3.1136, 4.6126 and 11.7533 Å, with angles of 90.00, 90.00 and 90.00 degrees. The distinct sites, in fractional coordinates, are Tl at (0.0000, 0.0000, 0.0000), Tl at (0.0000, 0.5000, 0.2157), Cr at (0.0000, 0.5000, 0.8147) and Rh at (0.0000, 0.0000, 0.4946).



(6)
Compound: BeP2ClO
Source: Alexandria
Functional: GGA-PBE
Structure: relaxed

The total moment is 0.000 μB/atom. The total energy is -17.16 eV for the cell shown. Its distance to the lowest polymorph of the same formula is 673.1 meV/atom.

The space group is P4/mmm (No. 123) and the conventional cell measures 4.2879, 4.2879 and 4.0937 Å, with angles of 90.00, 90.00 and 90.00 degrees. The distinct sites, in fractional coordinates, are Be at (0.0000, 0.0000, 0.0000), P at (0.0000, 0.5000, 0.0000), Cl at (0.0000, 0.0000, 0.5000) and O at (0.5000, 0.5000, 0.5000).



(7)
Compound: Li2CdIr
Source: Alexandria
Functional: GGA-PBE
Structure: relaxed

The total moment is 0.000 μB/atom. The total energy is -13.97 eV for the cell shown. For the formation energy, the calculation gives -0.092 eV per atom.

The space group is Pmmm (No. 47) and the conventional cell measures 3.2388, 4.3037 and 4.4274 Å, with angles of 90.00, 90.00 and 90.00 degrees. The distinct sites, in fractional coordinates, are Li at (0.0000, 0.0000, 0.0000), Li at (0.5000, 0.0000, 0.5000), Cd at (0.0000, 0.5000, 0.5000) and Ir at (0.5000, 0.5000, 0.0000).



(8)
Compound: SrMnH2
Source: Alexandria
Functional: GGA-PBE
Structure: relaxed

The total moment is 1.136 μB/atom. The total energy is -63.86 eV for the cell shown. Its distance to the lowest polymorph of the same formula is 382.4 meV/atom.

The space group is Fm-3m (No. 225) and the conventional cell measures 6.2371, 6.2371 and 6.2371 Å, with angles of 90.00, 90.00 and 90.00 degrees. The distinct sites, in fractional coordinates, are Sr at (0.0000, 0.0000, 0.0000), Mn at (0.0000, 0.0000, 0.5000) and H at (0.2500, 0.2500, 0.2500).



(9)
Compound: HgTe2
Source: Alexandria
Functional: GGA-PBE
Structure: relaxed

The total moment is 0.000 μB/atom. The total energy is -17.97 eV for the cell shown. Its distance to the lowest polymorph of the same formula is 175.7 meV/atom.

The space group is P-62m (No. 189) and the conventional cell measures 9.6967, 9.6967 and 3.8393 Å, with angles of 90.00, 90.00 and 120.00 degrees. The distinct sites, in fractional coordinates, are Hg at (0.0000, 0.0000, 0.0000), Hg at (0.3333, 0.6667, 0.5000), Te at (0.0000, 0.2485, 0.5000) and Te at (0.0000, 0.4760, 0.0000).



(10)
Compound: MnHg2Se
Source: Alexandria
Functional: GGA-PBE
Structure: relaxed

The total moment is 1.195 μB/atom. The total energy is -51.70 eV for the cell shown.

The space group is Fmmm (No. 69) and the conventional cell measures 5.5573, 5.6348 and 12.3167 Å, with angles of 90.00, 90.00 and 90.00 degrees. The distinct sites, in fractional coordinates, are Mn at (0.0000, 0.0000, 0.0000), Hg at (0.2500, 0.0000, 0.2500) and Se at (0.0000, 0.0000, 0.5000).



(11)
Compound: BaAlTcAu2
Source: Alexandria
Functional: GGA-PBE
Structure: relaxed

The total moment is 0.704 μB/atom. The total energy is -18.30 eV for the cell shown. For the formation energy, the calculation gives 0.858 eV per atom.

The space group is P4/mmm (No. 123) and the conventional cell measures 4.8660, 4.8660 and 6.0686 Å, with angles of 90.00, 90.00 and 90.00 degrees. The distinct sites, in fractional coordinates, are Ba at (0.0000, 0.0000, 0.0000), Al at (0.0000, 0.0000, 0.5000), Tc at (0.5000, 0.5000, 0.0000) and Au at (0.0000, 0.5000, 0.5000).



(12)
Compound: Zr2CdCo
Source: Alexandria
Functional: GGA-PBE
Structure: relaxed

The total moment is 0.001 μB/atom. The total energy is -49.61 eV for the cell shown. For the formation energy, the calculation gives 0.078 eV per atom.

The space group is I-4m2 (No. 119) and the conventional cell measures 4.0800, 4.0800 and 9.0656 Å, with angles of 90.00, 90.00 and 90.00 degrees. The distinct sites, in fractional coordinates, are Zr at (0.0000, 0.0000, 0.0000), Zr at (0.0000, 0.5000, 0.2500), Cd at (0.0000, 0.5000, 0.7500) and Co at (0.0000, 0.0000, 0.5000).